K4Ag2BiSb: optimized geometry, GGA-PBE.

It has space group Amm2 (No. 38), with a = 6.360 Å, b = 10.616 Å, c = 8.413 Å, α = 90.00°, β = 90.00° and γ = 90.00°. The inequivalent atoms are K at (0.000, 0.172, 0.000), K at (0.500, 0.176, 0.701), Ag at (0.252, 0.000, 0.343), Bi at (0.000, 0.000, 0.618) and Sb at (0.500, 0.000, 0.078).

The calculation puts the energy at -2.658 eV per atom.



KNaNbOF5: optimized geometry, GGA-PBE.

It has space group Pnma (No. 62), with a = 10.762 Å, b = 8.137 Å, c = 6.036 Å, α = 90.00°, β = 90.00° and γ = 90.00°. The inequivalent atoms are K at (0.000, 0.000, 0.000), Na at (0.130, 0.250, 0.414), Nb at (0.169, 0.750, 0.432), O at (0.179, 0.250, 0.049), F at (0.013, 0.250, 0.706), F at (0.073, 0.750, 0.715), F at (0.149, 0.511, 0.406) and F at (0.205, 0.750, 0.113).

The calculation puts the energy at -5.889 eV per atom.



FeCuTe3Pb: optimized geometry, GGA-PBE.

It has space group Cmcm (No. 63), with a = 3.957 Å, b = 14.225 Å, c = 10.499 Å, α = 90.00°, β = 90.00° and γ = 90.00°. The inequivalent atoms are Fe at (0.000, 0.000, 0.000), Cu at (0.000, 0.452, 0.250), Te at (0.000, 0.071, 0.250), Te at (0.000, 0.368, 0.032) and Pb at (0.000, 0.234, 0.750).

The calculation puts the energy at -4.201 eV per atom.



KPt3N5: optimized geometry, GGA-PBE.

It has space group P6/mmm (No. 191), with a = 5.3088 Å, b = 5.3088 Å, c = 5.8114 Å, α = 90.00°, β = 90.00° and γ = 120.00°. The inequivalent atoms are K at (0.0000, 0.0000, 0.0000), Pt at (0.0000, 0.5000, 0.5000), N at (0.0000, 0.0000, 0.5000) and N at (0.3333, 0.6667, 0.2692).

The calculation puts the energy at -5.450 eV per atom.



SmMo: optimized geometry, GGA-PBE.

It has space group P-6m2 (No. 187), with a = 3.0677 Å, b = 3.0677 Å, c = 5.3582 Å, α = 90.00°, β = 90.00° and γ = 120.00°. The inequivalent atoms are Sm at (0.0000, 0.0000, 0.0000) and Mo at (0.3333, 0.6667, 0.5000).

The value obtained for the formation energy is 0.862 eV/atom.



Y2Si3W4C3: optimized geometry, GGA-PBE.

It has space group C2/c (No. 15), with a = 9.460 Å, b = 5.488 Å, c = 13.618 Å, α = 90.00°, β = 103.79° and γ = 90.00°. The inequivalent atoms are Y at (0.040, 0.082, 0.378), Si at (0.000, 0.426, 0.750), Si at (0.246, 0.158, 0.750), W at (0.110, 0.406, 0.582), W at (0.228, 0.422, 0.919), C at (0.085, 0.255, 0.000) and C at (0.250, 0.250, 0.500).

The calculation puts the energy at -9.345 eV per atom.